The following is a DFT calculation (PBE) of a relaxed structure of GdTm2In3AgPt2.

a b c (Å): 3.750 13.549 7.791
angles (deg): 90.00 90.00 90.00
Space group Amm2 (No. 38)
Asymmetric unit:
1 Gd 0.000 0.000 0.000 (multiplicity 2)
2 Tm 0.000 0.205 0.614 (multiplicity 4)
3 In 0.500 0.000 0.677 (multiplicity 2)
4 In 0.500 0.135 0.275 (multiplicity 4)
5 Ag 0.000 0.000 0.410 (multiplicity 2)
6 Pt 0.500 0.169 0.908 (multiplicity 4)

Results
V = 22.0 A^3/atom
Electronic total energy = -88.24 eV per cell